Arrangement A

Pm3MgTl4: relaxed, PBE.

```
Pm3MgTl4
1.0
3.653 0.000 0.000
0.000 3.653 0.000
0.000 0.000 16.595
Tl Pm Mg
4 3 1
Direct
0.000 0.000 0.894
0.000 0.000 0.106
0.000 0.000 0.632
0.000 0.000 0.368
0.500 0.500 0.238
0.500 0.500 0.762
0.500 0.500 0.500
0.500 0.500 0.000
```

Arrangement B

Pm3MgTl4: relaxed, PBE.

```
Pm3MgTl4
1.0
3.616 0.000 0.000
0.000 9.539 0.000
-1.808 -4.769 6.916
Mg Pm Tl
1 3 4
Direct
0.500 0.000 0.000
0.220 0.220 0.440
0.000 0.500 0.000
0.780 0.780 0.560
0.623 0.380 0.246
0.377 0.620 0.754
0.623 0.866 0.246
0.377 0.134 0.754
```

Ordering by calculated energy gives the sequence arrangement A, arrangement B, with the first entry being the most stable.

Arrangement A

Pm3MgTl: relaxed, PBE.

```
Pm3MgTl
1.0
-2.263 4.733 4.014
-5.818 3.069 -6.899
-7.061 -6.117 3.232
Pm Mg Tl
12 4 4
Direct
0.598 0.676 0.566
0.742 0.357 0.750
0.258 0.643 0.250
0.902 0.176 0.434
0.402 0.324 0.066
0.758 0.857 0.250
0.902 0.176 0.066
0.098 0.824 0.566
0.598 0.676 0.934
0.098 0.824 0.934
0.402 0.324 0.434
0.242 0.143 0.750
0.249 0.006 0.250
0.751 0.994 0.750
0.749 0.494 0.250
0.251 0.506 0.750
0.000 0.500 0.500
0.500 0.000 0.500
0.500 0.000 0.000
0.000 0.500 0.000
```

Arrangement B

Pm3MgTl: relaxed, PBE.

```
Pm3MgTl
1.0
5.068 0.000 1.158
0.000 5.198 0.000
0.046 0.000 11.468
Pm Mg Tl
6 2 2
Direct
0.268 0.750 0.112
0.380 0.250 0.888
0.765 0.250 0.117
0.574 0.250 0.501
0.883 0.750 0.883
0.075 0.750 0.499
0.171 0.250 0.306
0.477 0.750 0.694
0.979 0.250 0.691
0.670 0.750 0.309
```

Ordering by calculated energy gives the sequence arrangement B, arrangement A, with the first entry being the most stable.

Arrangement A

Pm2Mg3Tl: relaxed, PBE.

```
Pm2Mg3Tl
1.0
-4.129 3.363 -3.275
-2.787 -4.340 3.532
2.882 6.342 6.609
Mg Pm Tl
6 4 2
Direct
0.169 0.665 0.834
0.833 0.833 0.666
0.665 0.169 0.834
0.335 0.831 0.166
0.167 0.167 0.334
0.831 0.335 0.166
0.250 0.750 0.500
0.751 0.751 0.000
0.750 0.250 0.500
0.249 0.249 0.000
0.334 0.334 0.668
0.666 0.666 0.332
```

Arrangement B

Pm2Mg3Tl: relaxed, PBE.

```
Pm2Mg3Tl
1.0
-1.830 -2.444 -1.740
3.559 -3.555 1.252
-4.547 -1.919 7.475
Tl Pm Mg
1 2 3
Direct
0.500 0.500 0.336
0.000 0.500 0.005
0.000 0.000 0.495
0.500 0.000 0.831
0.500 0.500 0.671
0.500 0.000 0.162
```

Ordering by calculated energy gives the sequence arrangement A, arrangement B, with the first entry being the most stable.

Arrangement A

Pm3MgTl2: relaxed, PBE.

```
Pm3MgTl2
1.0
3.847 0.000 0.000
0.000 3.847 0.000
0.000 0.000 11.793
Tl Pm Mg
2 3 1
Direct
0.500 0.500 0.826
0.500 0.500 0.174
0.000 0.000 0.340
0.000 0.000 0.660
0.000 0.000 0.000
0.500 0.500 0.500
```

Arrangement B

Pm3MgTl2: relaxed, PBE.

```
Pm3MgTl2
1.0
5.476 0.000 0.000
-2.738 4.743 0.000
0.000 0.000 13.425
Pm Tl Mg
6 4 2
Direct
0.667 0.333 0.081
0.333 0.667 0.919
0.333 0.667 0.419
0.000 0.000 0.752
0.000 0.000 0.248
0.667 0.333 0.581
0.000 0.000 0.000
0.333 0.667 0.177
0.000 0.000 0.500
0.667 0.333 0.823
0.667 0.333 0.331
0.333 0.667 0.669
```

Ordering by calculated energy gives the sequence arrangement B, arrangement A, with the first entry being the most stable.